Record 1
Rb5TlO4 | PBE-GGA | optimized geometry

Cell lengths 3.9619, 7.7379, 8.8282 Å; angles 104.68, 102.97, 90.00 degrees
Each line ends with the local moment (μB).
Atoms (fractional coordinates):
O (0.9986, 0.2273, 0.9972)  0.05
O (0.3617, 0.9163, 0.7234)  0.00
O (0.0014, 0.7727, 0.0028)  0.05
O (0.6383, 0.0837, 0.2766)  0.00
Rb (0.8473, 0.6831, 0.6946)  0.00
Rb (0.5000, 0.5000, 0.0000)  0.00
Rb (0.8403, 0.1341, 0.6806)  0.00
Rb (0.1597, 0.8659, 0.3194)  0.00
Rb (0.1527, 0.3169, 0.3054)  0.00
Tl (0.5000, 0.0000, 0.0000)  0.00

Summary:
For the formation energy from raw total energies, the calculation gives -0.87 eV per atom. Its total moment is 0.13 μB per cell. Its crystal system is monoclinic. The value obtained for the distance to the lowest polymorph of the same formula is 166.6 meV/atom.

Record 2
LaZn2GaCo | PBE-GGA | optimized geometry

Cell lengths 4.6411, 4.6411, 4.5493 Å; angles 90.00, 90.00, 90.00 degrees
Each line ends with the local moment (μB).
Atoms (fractional coordinates):
La (0.5000, 0.5000, 0.5000)  0.03
Ga (0.0000, 0.0000, 0.5000)  0.00
Co (0.0000, 0.0000, 0.0000)  0.17
Zn (0.5000, 0.0000, 0.0000)  0.00
Zn (0.0000, 0.5000, 0.0000)  0.00

Summary:
The formation energy is -323 meV/atom. Its total moment is 0.24 μB per cell. Its crystal system is tetragonal.

Record 3
Tl4BrCl2 | PBE-GGA | optimized geometry

Cell lengths 6.0982, 6.0982, 9.7155 Å; angles 71.71, 71.71, 90.00 degrees
Atoms (fractional coordinates):
Br (0.0000, 0.0000, 0.0000)
Cl (0.4020, 0.4020, 0.1959)
Cl (0.5980, 0.5980, 0.8041)
Tl (0.5000, 0.0000, 0.0000)
Tl (0.7575, 0.7575, 0.4850)
Tl (0.2425, 0.2425, 0.5150)
Tl (0.0000, 0.5000, 0.0000)

Summary:
For the formation energy from raw total energies, the calculation gives -0.57 eV per atom. Its total moment is 0.00 μB per cell. Its crystal system is tetragonal.

Record 4
GdLuAlIr | PBE-GGA | optimized geometry

Cell lengths 4.9413, 4.9413, 4.9413 Å; angles 60.00, 60.00, 60.00 degrees
Each line ends with the local moment (μB).
Atoms (fractional coordinates):
Al (0.5000, 0.5000, 0.5000)  -0.01
Ir (0.0000, 0.0000, 0.0000)  -0.02
Lu (0.7500, 0.7500, 0.7500)  0.02
Gd (0.2500, 0.2500, 0.2500)  7.01

Summary:
The formation energy is -577 meV/atom. Its total moment is 7.13 μB per cell. Its crystal system is cubic.